This record from the Alexandria database describes crystalline KFeAs3 at its relaxed geometry. The functional is PBE.

Output
Its density of states at the Fermi level is 2.76 states/eV/cell. As for the magnetization: 0.0 μB/f.u. The total energy is -4.497 eV/atom. The volume comes out at 107.4 Å³/f.u. Its formation energy is 0.205 eV per atom.

Cell: 4.753 4.753 4.753 Å, 90.00 90.00 90.00°
Atoms (fractional coordinates):
Fe 0.000 0.000 0.000
As 0.500 0.000 0.000
As 0.000 0.000 0.500
As 0.000 0.500 0.000
K 0.500 0.500 0.500